Version w
Entry from Alexandria via LeMat-Bulk: a relaxed NaTlCl2 crystal (GGA-PBEsol).

Cell: 6.6741 6.6741 12.6544 Å, 90.00 90.00 90.00°
Last column: nearest neighbours and their distance in Å.
Space group I-42d (No. 122)
Symmetry-distinct sites (fractional):
Na  0.0000  0.0000  0.0000 [4 per cell]  4 Cl 2.67
Tl  0.0000  0.0000  0.5000 [4 per cell]  4 Cl 3.03
Cl  0.2047  0.2500  0.1250 [8 per cell]  2 Na 2.67

***

Version x
Entry from Alexandria via LeMat-Bulk: a relaxed NaTlCl2 crystal (GGA-PBEsol).

Cell: 4.6773 4.6773 24.8615 Å, 90.00 90.00 120.00°
Last column: nearest neighbours and their distance in Å.
Space group R-3m (No. 166, hexagonal axes)
Symmetry-distinct sites (fractional):
Na  0.0000  0.0000  0.0000 [3 per cell]  2 Cl 2.48
Tl  0.0000  0.0000  0.5000 [3 per cell]  6 Cl 3.17
Cl  0.0000  0.0000  0.0996 [6 per cell]  1 Na 2.48

***

version w is preferred energetically. Next in line: 0.151 eV/atom higher.

***

Version w
Entry from Alexandria via LeMat-Bulk: a relaxed RbNiP2Cl crystal (GGA-PBEsol).

Cell: 6.2154 6.2154 5.7000 Å, 90.00 90.00 90.00°
Last column: nearest neighbours and their distance in Å.
Space group P4/mmm (No. 123)
Symmetry-distinct sites (fractional):
Rb  0.0000  0.0000  0.0000 [1 per cell]  2 Cl 2.85, 4 P 3.11
Ni  0.5000  0.5000  0.5000 [1 per cell]  8 P 4.22, 4 Cl 4.39
P  0.0000  0.5000  0.0000 [2 per cell]  2 Rb 3.11
Cl  0.0000  0.0000  0.5000 [1 per cell]  2 Rb 2.85

***

Version x
Entry from Alexandria via LeMat-Bulk: a relaxed RbNiP2Cl crystal (GGA-PBEsol).

Cell: 4.2178 4.2178 7.3274 Å, 90.00 90.00 90.00°
Last column: nearest neighbours and their distance in Å.
Space group P4/mmm (No. 123)
Symmetry-distinct sites (fractional):
Rb  0.0000  0.0000  0.0000 [1 per cell]  4 Cl 2.98
Ni  0.5000  0.5000  0.5000 [1 per cell]  4 P 2.11
P  0.0000  0.5000  0.5000 [2 per cell]  2 Ni 2.11
Cl  0.5000  0.5000  0.0000 [1 per cell]  4 Rb 2.98

***

version x is preferred energetically. Next in line: 2.190 eV/atom higher.